Density functional theory data (GGA-PBE) for a geometry-optimized PrNbCu structure.

Cell and atoms, written as POSCAR:
```
PrNbCu
1.0
3.4882 0.0000 0.0000
0.0000 3.4882 0.0000
0.0000 0.0000 10.7327
Pr Nb Cu
2 2 2
direct
0.0000 0.0000 0.1810
0.0000 0.0000 0.8190
0.5000 0.5000 0.3861
0.5000 0.5000 0.6139
0.0000 0.0000 0.5000
0.5000 0.5000 0.0000
```

Results
ΔE_f (meV per atom): 195


Density functional theory data (GGA-PBE) for a geometry-optimized Nb2Cu2Pt structure.

Cell and atoms, written as POSCAR:
```
Nb2Cu2Pt
1.0
6.5922 0.0000 0.0000
0.0000 6.5922 0.0000
0.0000 0.0000 3.5263
Nb Cu Pt
4 4 2
direct
0.1707 0.3293 0.0000
0.3293 0.8293 0.0000
0.6707 0.1707 0.0000
0.8293 0.6707 0.0000
0.1285 0.6285 0.5000
0.3715 0.1285 0.5000
0.6285 0.8715 0.5000
0.8715 0.3715 0.5000
0.0000 0.0000 0.5000
0.5000 0.5000 0.5000
```

Results
ΔE_f (meV per atom): -82
Offset from the most stable computed form (meV/atom): 0


Density functional theory data (GGA-PBE) for a geometry-optimized NbCuPt2 structure.

Cell and atoms, written as POSCAR:
```
NbCuPt2
1.0
0.0000 3.1539 3.1539
3.1539 0.0000 3.1539
3.1539 3.1539 0.0000
Nb Cu Pt
1 1 2
direct
0.0000 0.0000 0.0000
0.5000 0.5000 0.5000
0.2500 0.2500 0.2500
0.7500 0.7500 0.7500
```

Results
ΔE_f (meV per atom): -381


Density functional theory data (GGA-PBE) for a geometry-optimized NbCuPt2 structure.

Cell and atoms, written as POSCAR:
```
NbCuPt2
1.0
4.6020 0.0000 0.0000
0.0000 5.5417 0.0000
0.0000 0.0000 4.7893
Nb Cu Pt
2 2 4
direct
0.2500 0.2500 0.1595
0.7500 0.7500 0.8405
0.2500 0.7500 0.1767
0.7500 0.2500 0.8233
0.2500 0.5021 0.6795
0.2500 0.9979 0.6795
0.7500 0.0021 0.3205
0.7500 0.4979 0.3205
```

Results
ΔE_f (meV per atom): -556


Density functional theory data (GGA-PBE) for a geometry-optimized NbCuPt3 structure.

Cell and atoms, written as POSCAR:
```
NbCuPt3
1.0
5.5479 0.0000 0.0000
0.0000 3.9750 0.0000
0.0000 0.0000 13.9523
Nb Cu Pt
4 4 12
direct
0.1148 0.2500 0.1466
0.3852 0.7500 0.6466
0.6148 0.2500 0.3534
0.8852 0.7500 0.8534
0.1134 0.2500 0.5504
0.3866 0.7500 0.0504
0.6134 0.2500 0.9496
0.8866 0.7500 0.4496
0.1098 0.2500 0.3513
0.1203 0.2500 0.9503
0.1324 0.2500 0.7483
0.3676 0.7500 0.2483
0.3797 0.7500 0.4503
0.3902 0.7500 0.8513
0.6098 0.2500 0.1487
0.6203 0.2500 0.5497
0.6324 0.2500 0.7517
0.8676 0.7500 0.2517
0.8797 0.7500 0.0497
0.8902 0.7500 0.6487
```

Results
ΔE_f (meV per atom): -497
Offset from the most stable computed form (meV/atom): 0


Density functional theory data (GGA-PBE) for a geometry-optimized Nb5CuPt4 structure.

Cell and atoms, written as POSCAR:
```
Nb5CuPt4
1.0
2.8280 0.0000 0.0000
0.0000 2.8280 0.0000
0.0000 0.0000 20.3830
Nb Cu Pt
5 1 4
direct
0.0000 0.0000 0.0000
0.0000 0.0000 0.2029
0.0000 0.0000 0.4056
0.0000 0.0000 0.5944
0.0000 0.0000 0.7971
0.5000 0.5000 0.5000
0.5000 0.5000 0.1013
0.5000 0.5000 0.3031
0.5000 0.5000 0.6969
0.5000 0.5000 0.8987
```

Results
ΔE_f (meV per atom): -508


Density functional theory data (GGA-PBE) for a geometry-optimized NbCu2Pt9 structure.

Cell and atoms, written as POSCAR:
```
NbCu2Pt9
1.0
3.9454 0.0000 0.0000
0.0000 3.9454 0.0000
0.0000 0.0000 11.7699
Nb Cu Pt
1 2 9
direct
0.0000 0.0000 0.0000
0.0000 0.0000 0.3390
0.0000 0.0000 0.6610
0.0000 0.5000 0.1684
0.0000 0.5000 0.5000
0.0000 0.5000 0.8316
0.5000 0.0000 0.1684
0.5000 0.0000 0.5000
0.5000 0.0000 0.8316
0.5000 0.5000 0.0000
0.5000 0.5000 0.3346
0.5000 0.5000 0.6654
```

Results
ΔE_f (meV per atom): -314


Density functional theory data (GGA-PBE) for a geometry-optimized NbCuPt3 structure.

Cell and atoms, written as POSCAR:
```
NbCuPt3
1.0
5.4289 0.0000 0.0000
0.0000 7.4490 0.0000
0.0000 0.0000 8.3645
Nb Cu Pt
4 4 12
direct
0.0747 0.2500 0.0162
0.4253 0.7500 0.5162
0.5747 0.2500 0.4838
0.9253 0.7500 0.9838
0.0000 0.0000 0.5000
0.0000 0.5000 0.5000
0.5000 0.0000 0.0000
0.5000 0.5000 0.0000
0.0428 0.7500 0.2918
0.1891 0.5679 0.7759
0.1891 0.9321 0.7759
0.3109 0.0679 0.2759
0.3109 0.4321 0.2759
0.4572 0.2500 0.7918
0.5428 0.7500 0.2082
0.6891 0.5679 0.7241
0.6891 0.9321 0.7241
0.8109 0.0679 0.2241
0.8109 0.4321 0.2241
0.9572 0.2500 0.7082
```

Results
ΔE_f (meV per atom): -135
Offset from the most stable computed form (meV/atom): 362


Density functional theory data (GGA-PBE) for a geometry-optimized NbCuPt3 structure.

Cell and atoms, written as POSCAR:
```
NbCuPt3
1.0
4.8691 0.0000 0.0000
0.0000 4.8691 0.0000
0.0000 0.0000 4.8691
Nb Cu Pt
1 1 3
direct
0.0000 0.0000 0.0000
0.5000 0.5000 0.5000
0.0000 0.0000 0.5000
0.0000 0.5000 0.0000
0.5000 0.0000 0.0000
```

Results
ΔE_f (meV per atom): 1115
Offset from the most stable computed form (meV/atom): 1611


Density functional theory data (GGA-PBE) for a geometry-optimized NbCuPt2 structure.

Cell and atoms, written as POSCAR:
```
NbCuPt2
1.0
-3.5134 3.5134 2.7346
3.5134 -3.5134 2.7346
3.5134 3.5134 -2.7346
Nb Cu Pt
2 2 4
direct
0.0000 0.0000 0.0000
0.7500 0.2500 0.5000
0.2500 0.7500 0.5000
0.5000 0.5000 0.0000
0.1308 0.6250 0.0058
0.3750 0.3808 0.5058
0.6192 0.1250 0.9942
0.8750 0.8692 0.4942
```

Results
ΔE_f (meV per atom): 13


Density functional theory data (GGA-PBE) for a geometry-optimized NbCu2Pt3 structure.

Cell and atoms, written as POSCAR:
```
NbCu2Pt3
1.0
1.9857 -6.0262 0.0000
1.9857 6.0262 0.0000
0.0000 0.0000 7.4599
Nb Cu Pt
2 4 6
direct
0.1590 0.8410 0.0000
0.8410 0.1590 0.0000
0.1724 0.8276 0.5000
0.5000 0.5000 0.0000
0.5000 0.5000 0.5000
0.8276 0.1724 0.5000
0.0000 0.0000 0.2618
0.0000 0.0000 0.7382
0.3351 0.6649 0.2541
0.3351 0.6649 0.7459
0.6649 0.3351 0.2541
0.6649 0.3351 0.7459
```

Results
ΔE_f (meV per atom): -377


Density functional theory data (GGA-PBE) for a geometry-optimized NbCu3Pt6 structure.

Cell and atoms, written as POSCAR:
```
NbCu3Pt6
1.0
8.4727 0.0000 0.0000
0.0000 3.9734 0.0000
-0.5121 0.0000 8.8699
Nb Cu Pt
2 6 12
direct
0.0652 0.2500 0.3811
0.9348 0.7500 0.6189
0.2548 0.2500 0.0025
0.3472 0.7500 0.8088
0.4473 0.2500 0.6050
0.5527 0.7500 0.3950
0.6528 0.2500 0.1912
0.7452 0.7500 0.9975
0.0551 0.7500 0.9035
0.1480 0.2500 0.6988
0.1585 0.7500 0.2060
0.2539 0.7500 0.5099
0.3694 0.2500 0.3084
0.4588 0.7500 0.1003
0.5412 0.2500 0.8997
0.6306 0.7500 0.6916
0.7461 0.2500 0.4901
0.8415 0.2500 0.7940
0.8520 0.7500 0.3012
0.9449 0.2500 0.0965
```

Results
ΔE_f (meV per atom): -330


no.,total magnetization (μB per atom)
1,0.000
2,0.000
3,0.000
4,0.000
5,0.000
6,0.000
7,0.000
8,0.000
9,0.000
10,0.000
11,0.042
12,0.000